(1)
Entry from Alexandria via LeMat-Bulk: an optimized crystal structure of Tb3CePr2As6 (GGA-PBE).

The value obtained for the calculated formation energy is -18.1 eV/f.u. Its magnetization is 0.5 μB per formula unit. Its density is 7.1 g cm⁻³.

The structure in POSCAR format:
```
Tb3CePr2As6
1.0
9.160 -2.106 0.000
9.160 2.106 0.000
-1.919 0.000 8.195
Tb Ce Pr As
3 1 2 6
Cartesian
0.000 0.000 0.000 Tb
4.809 0.000 5.464 Tb
11.592 0.000 2.732 Tb
-0.959 0.000 4.098 Ce
5.784 0.000 1.356 Pr
10.616 0.000 6.840 Pr
2.837 0.000 0.733 As
1.942 0.000 4.722 As
7.675 0.000 6.142 As
8.726 0.000 2.053 As
14.458 0.000 3.473 As
13.563 0.000 7.462 As
```

(2)
Entry from Alexandria via LeMat-Bulk: an optimized crystal structure of Tl2HgI2Cl2 (GGA-PBE).

Its magnetization is 0.0 μB per formula unit. Its formation energy without anion corrections is -4.55 eV per formula unit. Its density is 5.9 g cm⁻³.

The structure in POSCAR format:
```
Tl2HgI2Cl2
1.0
8.205 -2.201 0.000
8.205 2.201 0.000
-4.227 0.000 7.224
Tl Hg I Cl
2 1 2 2
Cartesian
2.189 0.000 0.688 Tl
9.994 0.000 6.536 Tl
-2.113 0.000 3.612 Hg
4.689 0.000 5.144 I
7.494 0.000 2.080 I
-0.043 0.000 5.554 Cl
12.226 0.000 1.671 Cl
```

(3)
Entry from Alexandria via LeMat-Bulk: an optimized crystal structure of LaAu2Cl (GGA-PBE).

The value obtained for the energy above the lowest structure with this stoichiometry is 0.1138 eV/atom. Its magnetization is 0.0 μB per formula unit. Its formation energy without anion corrections is -3.59 eV per formula unit. Its density is 8.7 g cm⁻³.

The structure in POSCAR format:
```
LaAu2Cl
1.0
3.685 0.000 0.000
0.000 3.688 0.000
-1.375 0.000 7.991
La Au Cl
1 2 1
Cartesian
0.000 0.000 0.000 La
-0.003 0.000 3.025 Au
1.841 1.844 1.729 Au
0.464 1.844 6.260 Cl
```

(4)
Entry from Alexandria via LeMat-Bulk: an optimized crystal structure of CsRb2HgPb (GGA-PBE).

The value obtained for the energy above the lowest structure with this stoichiometry is 0.0000 eV/atom. The value obtained for the calculated formation energy is -0.2 eV/f.u. Its magnetization is 0.2 μB per formula unit. Its density is 4.1 g cm⁻³.

The structure in POSCAR format:
```
CsRb2HgPb
1.0
6.934 0.000 0.000
0.000 6.934 0.000
0.000 0.000 6.054
Cs Rb Hg Pb
1 2 1 1
Cartesian
0.000 0.000 0.000 Cs
0.000 3.467 3.027 Rb
3.467 0.000 3.027 Rb
3.467 3.467 3.027 Hg
3.467 3.467 0.000 Pb
```

(5)
Entry from Alexandria via LeMat-Bulk: an optimized crystal structure of Nb2GaTc (GGA-PBE).

The value obtained for the calculated formation energy is -0.8 eV/f.u. Its magnetization is 0.0 μB per formula unit. Its density is 9.0 g cm⁻³.

The structure in POSCAR format:
```
Nb2GaTc
1.0
4.107 0.000 0.000
0.000 4.107 0.000
0.000 0.000 3.886
Nb Ga Tc
2 1 1
Cartesian
0.000 2.054 0.000 Nb
2.054 0.000 0.000 Nb
0.000 0.000 1.943 Ga
2.054 2.054 1.943 Tc
```

(6)
Entry from Alexandria via LeMat-Bulk: an optimized crystal structure of AlPbS2 (GGA-PBE).

Its magnetization is 0.0 μB per formula unit. Its formation energy without anion corrections is -2.61 eV per formula unit. Its density is 5.0 g cm⁻³.

The structure in POSCAR format:
```
AlPbS2
1.0
-4.031 4.031 3.049
4.031 -4.031 3.049
4.031 4.031 -3.049
Al Pb S
2 2 4
Cartesian
4.031 0.000 1.525 Al
0.000 4.031 1.525 Al
0.000 0.000 1.525 Pb
0.000 0.000 4.574 Pb
5.246 1.215 0.000 S
1.215 2.816 0.000 S
2.816 1.215 3.049 S
-1.215 2.816 3.049 S
```

(7)
Entry from Alexandria via LeMat-Bulk: an optimized crystal structure of CuTe3Ru (GGA-PBE).

The value obtained for the energy above the lowest structure with this stoichiometry is 0.0000 eV/atom. Its magnetization is 0.0 μB per formula unit. Its formation energy without anion corrections is 3.84 eV per formula unit. Its density is 6.5 g cm⁻³.

The structure in POSCAR format:
```
CuTe3Ru
1.0
5.183 0.000 0.000
0.000 5.183 0.000
0.000 0.000 5.183
Cu Te Ru
1 3 1
Cartesian
0.000 0.000 0.000 Cu
0.000 2.592 2.592 Te
2.592 0.000 2.592 Te
2.592 2.592 0.000 Te
2.592 2.592 2.592 Ru
```

(8)
Entry from Alexandria via LeMat-Bulk: an optimized crystal structure of TmB4Mo (GGA-PBE).

The value obtained for the calculated formation energy is -3.9 eV/f.u. Its magnetization is 0.0 μB per formula unit. Its density is 8.2 g cm⁻³.

The structure in POSCAR format:
```
TmB4Mo
1.0
6.004 0.000 0.000
0.000 11.588 0.000
0.000 0.000 3.598
Tm B Mo
4 16 4
Cartesian
0.765 1.733 0.000 Tm
2.238 7.527 0.000 Tm
3.767 4.061 0.000 Tm
5.240 9.855 0.000 Tm
0.138 8.046 1.799 B
0.689 6.351 1.799 B
0.795 11.220 1.799 B
1.271 9.426 1.799 B
1.731 3.632 1.799 B
2.208 5.426 1.799 B
2.313 0.557 1.799 B
2.864 2.252 1.799 B
3.140 9.336 1.799 B
3.692 11.031 1.799 B
3.797 6.162 1.799 B
4.273 7.956 1.799 B
4.734 2.162 1.799 B
5.210 0.368 1.799 B
5.315 5.237 1.799 B
5.866 3.542 1.799 B
0.784 4.821 0.000 Mo
2.218 10.615 0.000 Mo
3.786 0.973 0.000 Mo
5.220 6.767 0.000 Mo
```

(9)
Entry from Alexandria via LeMat-Bulk: an optimized crystal structure of Tc2PBr (GGA-PBE).

The value obtained for the energy above the lowest structure with this stoichiometry is 0.8840 eV/atom. Its magnetization is 0.0 μB per formula unit. Its formation energy without anion corrections is 3.29 eV per formula unit. Its density is 7.9 g cm⁻³.

The structure in POSCAR format:
```
Tc2PBr
1.0
2.986 -4.006 0.000
2.986 4.006 0.000
-1.295 0.000 2.701
Tc P Br
2 1 1
Cartesian
1.493 2.003 0.000 Tc
1.493 -2.003 0.000 Tc
0.000 0.000 0.000 P
2.986 0.000 0.000 Br
```

(10)
Entry from Alexandria via LeMat-Bulk: an optimized crystal structure of Na12Sb3H5 (GGA-PBE).

Its magnetization is 0.0 μB per formula unit. Its density is 2.2 g cm⁻³. As for the total energy: -2.431 eV per atom.

The structure in POSCAR format:
```
Na12Sb3H5
1.0
-7.901 7.901 7.901
7.901 -7.901 7.901
7.901 7.901 -7.901
Na Sb H
48 12 20
Cartesian
2.392 -0.541 0.827 Na
9.460 4.777 -4.491 Na
10.293 0.541 0.827 Na
9.460 -3.124 4.491 Na
7.361 -0.827 2.392 Na
12.392 -1.558 3.124 Na
0.827 2.392 -0.541 Na
11.025 3.410 -1.558 Na
4.777 4.491 -1.558 Na
7.074 2.392 0.541 Na
-0.541 0.827 2.392 Na
4.491 -1.558 4.777 Na
7.361 7.074 -2.392 Na
4.491 1.558 3.124 Na
4.777 -4.491 9.460 Na
7.074 -2.392 7.361 Na
3.124 4.491 1.558 Na
8.728 5.509 0.541 Na
4.491 9.460 -3.124 Na
7.361 0.827 5.509 Na
2.392 7.361 -0.827 Na
9.460 3.124 3.410 Na
1.558 3.124 4.491 Na
2.392 0.541 7.074 Na
5.509 7.361 0.827 Na
6.343 4.777 3.410 Na
-1.558 4.777 4.491 Na
5.509 0.541 8.728 Na
0.541 7.074 2.392 Na
3.410 -1.558 11.025 Na
-0.827 2.392 7.361 Na
4.777 3.410 6.343 Na
0.827 10.293 0.541 Na
3.124 12.392 -1.558 Na
3.410 6.343 4.777 Na
0.541 0.827 10.293 Na
3.410 9.460 3.124 Na
8.442 7.074 5.509 Na
0.827 5.509 7.361 Na
3.124 3.410 9.460 Na
-3.124 4.491 9.460 Na
7.074 5.509 8.442 Na
-4.491 9.460 4.777 Na
0.541 8.728 5.509 Na
-1.558 11.025 3.410 Na
-2.392 7.361 7.074 Na
-1.558 3.124 12.392 Na
5.509 8.442 7.074 Na
3.951 1.975 0.000 Sb
7.901 3.951 -1.975 Sb
1.975 0.000 3.951 Sb
9.876 0.000 3.951 Sb
0.000 3.951 1.975 Sb
3.951 -1.975 7.901 Sb
3.951 9.876 0.000 Sb
7.901 3.951 5.926 Sb
-1.975 7.901 3.951 Sb
5.926 7.901 3.951 Sb
0.000 3.951 9.876 Sb
3.951 5.926 7.901 Sb
0.000 0.000 0.000 H
3.951 3.951 -3.951 H
3.951 -3.951 3.951 H
7.901 0.000 0.000 H
11.852 1.975 0.000 H
7.901 -3.951 5.926 H
5.926 7.901 -3.951 H
5.926 0.000 3.951 H
3.951 5.926 0.000 H
7.901 3.951 1.975 H
-3.951 3.951 3.951 H
0.000 7.901 0.000 H
0.000 0.000 7.901 H
3.951 3.951 3.951 H
0.000 3.951 5.926 H
3.951 1.975 7.901 H
1.975 7.901 3.951 H
1.975 0.000 11.852 H
0.000 11.852 1.975 H
-3.951 5.926 7.901 H
```

(11)
Entry from Alexandria via LeMat-Bulk: an optimized crystal structure of DyPdS2 (GGA-PBE).

The value obtained for the energy above the lowest structure with this stoichiometry is 0.6730 eV/atom. Its magnetization is 0.0 μB per formula unit. Its formation energy without anion corrections is -1.56 eV per formula unit. Its density is 6.0 g cm⁻³.

The structure in POSCAR format:
```
DyPdS2
1.0
1.841 1.063 7.812
-1.841 1.063 7.812
0.000 -2.126 7.812
Dy Pd S
1 1 2
Cartesian
0.000 0.000 0.000 Dy
0.000 0.000 11.718 Pd
0.000 0.000 2.656 S
0.000 0.000 20.779 S
```

(12)
Entry from Alexandria via LeMat-Bulk: an optimized crystal structure of Sr2ZnCuH6 (GGA-PBE).

Its magnetization is 0.0 μB per formula unit. Its density is 4.5 g cm⁻³. As for the total energy: -3.124 eV per atom.

The structure in POSCAR format:
```
Sr2ZnCuH6
1.0
3.839 -3.843 0.000
3.839 3.843 0.000
-3.816 0.000 3.848
Sr Zn Cu H
2 1 1 6
Cartesian
3.839 1.918 0.000 Sr
3.839 -1.918 0.000 Sr
-1.908 0.000 1.924 Zn
1.931 0.000 1.924 Cu
1.931 1.832 1.924 H
1.930 0.000 0.088 H
0.102 0.000 1.934 H
3.760 0.000 1.914 H
1.933 0.000 3.760 H
1.931 -1.832 1.924 H
```

(13)
Entry from Alexandria via LeMat-Bulk: an optimized crystal structure of Cs2Rb5Hg3 (GGA-PBE).

The value obtained for the calculated formation energy is -1.2 eV/f.u. Its magnetization is 0.0 μB per formula unit. Its density is 3.5 g cm⁻³.

The structure in POSCAR format:
```
Cs2Rb5Hg3
1.0
7.750 -10.061 0.000
7.750 10.061 0.000
-1.999 0.000 7.929
Cs Rb Hg
4 10 6
Cartesian
4.101 6.085 7.474 Cs
8.401 6.085 4.419 Cs
5.100 -6.085 3.510 Cs
9.400 -6.085 0.455 Cs
6.251 9.994 5.946 Rb
5.048 3.147 3.674 Rb
2.890 1.030 7.146 Rb
3.889 -1.030 3.182 Rb
9.453 3.147 0.291 Rb
4.049 -3.147 7.638 Rb
9.613 1.030 4.747 Rb
10.612 -1.030 0.782 Rb
8.453 -3.147 4.255 Rb
7.250 -9.994 1.982 Rb
4.686 7.199 3.498 Hg
9.815 7.199 0.467 Hg
7.250 0.145 1.982 Hg
6.251 -0.145 5.946 Hg
3.687 -7.199 7.462 Hg
8.815 -7.199 4.431 Hg
```

(14)
Entry from Alexandria via LeMat-Bulk: an optimized crystal structure of Pu2ScAl3Au12 (GGA-PBE).

The value obtained for the calculated formation energy is -4.1 eV/f.u. Its magnetization is 10.6 μB per formula unit. Its density is 12.5 g cm⁻³.

The structure in POSCAR format:
```
Pu2ScAl3Au12
1.0
3.285 1.897 10.589
-3.285 1.897 10.589
0.000 -3.793 10.589
Pu Sc Al Au
2 1 3 12
Cartesian
0.000 0.000 4.420 Pu
0.000 0.000 27.347 Pu
0.000 0.000 15.883 Sc
-1.642 -0.948 10.589 Al
-1.642 0.948 21.178 Al
0.000 1.897 10.589 Al
-1.792 -1.035 14.149 Au
0.000 -2.171 9.106 Au
-1.880 1.085 9.106 Au
-1.880 -1.085 22.661 Au
0.000 -2.069 17.618 Au
-1.792 1.035 17.618 Au
1.792 -1.035 14.149 Au
0.000 2.069 14.149 Au
1.880 1.085 9.106 Au
1.880 -1.085 22.661 Au
0.000 2.171 22.661 Au
1.792 1.035 17.618 Au
```

(15)
Entry from Alexandria via LeMat-Bulk: an optimized crystal structure of Al2CoPb (GGA-PBE).

The value obtained for the calculated formation energy is 1.7 eV/f.u. Its magnetization is 0.1 μB per formula unit. Its density is 7.6 g cm⁻³.

The structure in POSCAR format:
```
Al2CoPb
1.0
0.000 3.276 3.276
3.276 0.000 3.276
3.276 3.276 0.000
Al Co Pb
2 1 1
Cartesian
0.000 0.000 0.000 Al
1.638 1.638 1.638 Al
4.914 4.914 4.914 Co
3.276 3.276 3.276 Pb
```

(16)
Entry from Alexandria via LeMat-Bulk: an optimized crystal structure of Ho2PaRhN4 (GGA-PBE).

Its magnetization is 0.0 μB per formula unit. Its formation energy without anion corrections is -9.34 eV per formula unit. Its density is 10.7 g cm⁻³.

The structure in POSCAR format:
```
Ho2PaRhN4
1.0
1.685 -5.732 0.000
1.685 5.732 0.000
0.000 0.000 11.553
Ho Pa Rh N
4 2 2 8
Cartesian
1.685 4.271 6.385 Ho
1.685 4.271 10.944 Ho
1.685 -4.271 0.609 Ho
1.685 -4.271 5.167 Ho
1.685 1.333 8.664 Pa
1.685 -1.333 2.888 Pa
1.685 1.649 2.888 Rh
1.685 -1.649 8.664 Rh
1.685 5.390 8.664 N
1.685 3.280 1.518 N
1.685 3.280 4.258 N
1.685 0.000 0.000 N
1.685 0.000 5.776 N
1.685 -3.280 7.295 N
1.685 -3.280 10.034 N
1.685 -5.390 2.888 N
```

(17)
Entry from Alexandria via LeMat-Bulk: an optimized crystal structure of Pt2W (GGA-PBE).

The value obtained for the energy above the lowest structure with this stoichiometry is 0.3901 eV/atom. The value obtained for the calculated formation energy is 0.1 eV/f.u. Its magnetization is 0.0 μB per formula unit. Its density is 18.5 g cm⁻³.

The structure in POSCAR format:
```
Pt2W
1.0
-1.362 2.010 9.395
1.362 -2.010 9.395
1.362 2.010 -9.395
Pt W
4 2
Cartesian
0.000 1.005 0.850 Pt
0.000 1.005 3.527 Pt
1.362 1.005 5.868 Pt
1.362 1.005 8.545 Pt
1.362 1.005 -2.062 W
0.000 1.005 11.457 W
```

(18)
Entry from Alexandria via LeMat-Bulk: an optimized crystal structure of Ti12Sb6Pd (GGA-PBE).

Its magnetization is 0.0 μB per formula unit. Its formation energy without anion corrections is -0.47 eV per formula unit. Its density is 5.6 g cm⁻³.

The structure in POSCAR format:
```
Ti12Sb6Pd
1.0
5.726 3.306 3.712
-5.726 3.306 3.712
0.000 -6.612 3.712
Ti Sb Pd
12 6 1
Cartesian
-1.799 -4.620 4.487 Ti
-4.901 -0.752 6.650 Ti
-2.413 -0.429 4.737 Ti
-3.102 3.868 4.487 Ti
-0.835 -2.304 6.400 Ti
1.578 -1.875 4.737 Ti
-1.578 1.875 6.400 Ti
0.835 2.304 4.737 Ti
3.102 -3.868 6.650 Ti
2.413 0.429 6.400 Ti
4.901 0.752 4.487 Ti
1.799 4.620 6.650 Ti
-3.599 -2.830 5.472 Sb
-4.250 1.702 5.665 Sb
0.651 -4.532 5.665 Sb
-0.651 4.532 5.472 Sb
4.250 -1.702 5.472 Sb
3.599 2.830 5.665 Sb
0.000 0.000 5.568 Pd
```

(19)
Entry from Alexandria via LeMat-Bulk: an optimized crystal structure of Ca2Pm2Ag3 (GGA-PBE).

The value obtained for the calculated formation energy is -1.1 eV/f.u. Its magnetization is 0.0 μB per formula unit. Its density is 5.7 g cm⁻³.

The structure in POSCAR format:
```
Ca2Pm2Ag3
1.0
2.610 1.507 8.497
-2.610 1.507 8.497
0.000 -3.014 8.497
Ca Pm Ag
2 2 3
Cartesian
0.000 0.000 3.174 Ca
0.000 0.000 22.316 Ca
0.000 0.000 9.541 Pm
0.000 0.000 15.948 Pm
0.000 0.000 6.452 Ag
0.000 0.000 12.745 Ag
0.000 0.000 19.038 Ag
```